1.
DFT (GGA-PBEsol) results for a relaxed structure of CaRe2NiSe.

Summary:
The mass density is 9.616 g/cm³. The calculation puts the energy relative to the elements, uncorrected at 2.928 eV per atom. The calculated total energy comes out at -4.83 eV per atom.

```
data_CaRe2NiSe
_symmetry_space_group_name_H-M 'P 4/m m m'
_symmetry_Int_Tables_number 123
_symmetry_space_group_name_Hall '-P 4 2'
_cell_length_a 4.728
_cell_length_b 4.728
_cell_length_c 4.249
_cell_angle_alpha 90.00
_cell_angle_beta 90.00
_cell_angle_gamma 90.00
loop_
_atom_site_label
_atom_site_type_symbol
_atom_site_fract_x
_atom_site_fract_y
_atom_site_fract_z
Ca1 Ca 0.000 0.000 0.000
Re1 Re 0.000 0.500 0.000
Ni1 Ni 0.000 0.000 0.500
Se1 Se 0.500 0.500 0.500
```

***

2.
DFT (GGA-PBEsol) results for a relaxed structure of CaNi2Rh.

Summary:
The mass density is 7.120 g/cm³. The calculated total energy comes out at -5.51 eV per atom. Its formation energy is 0.13 eV/atom.

```
data_CaNi2Rh
_symmetry_space_group_name_H-M 'P 4/m m m'
_symmetry_Int_Tables_number 123
_symmetry_space_group_name_Hall '-P 4 2'
_cell_length_a 3.089
_cell_length_b 3.089
_cell_length_c 6.363
_cell_angle_alpha 90.00
_cell_angle_beta 90.00
_cell_angle_gamma 90.00
loop_
_atom_site_label
_atom_site_type_symbol
_atom_site_fract_x
_atom_site_fract_y
_atom_site_fract_z
Ca1 Ca 0.000 0.000 0.000
Ni1 Ni 0.500 0.500 0.310
Rh1 Rh 0.000 0.000 0.500
```

***

3.
DFT (GGA-PBEsol) results for a relaxed structure of CaNi2Rh.

Summary:
The mass density is 7.562 g/cm³. The calculated total energy comes out at -5.48 eV per atom. Its formation energy is 0.17 eV/atom.

```
data_CaNi2Rh
_symmetry_space_group_name_H-M 'I 4/m m m'
_symmetry_Int_Tables_number 139
_symmetry_space_group_name_Hall '-I 4 2'
_cell_length_a 4.015
_cell_length_b 4.015
_cell_length_c 7.093
_cell_angle_alpha 90.00
_cell_angle_beta 90.00
_cell_angle_gamma 90.00
loop_
_atom_site_label
_atom_site_type_symbol
_atom_site_fract_x
_atom_site_fract_y
_atom_site_fract_z
Ca1 Ca 0.000 0.000 0.000
Ni1 Ni 0.000 0.500 0.250
Rh1 Rh 0.000 0.000 0.500
```

***

4.
DFT (GGA-PBEsol) results for a relaxed structure of CaNi2Rh.

Summary:
The mass density is 7.820 g/cm³. The calculated total energy comes out at -5.53 eV per atom. Its formation energy is 0.11 eV/atom.

```
data_CaNi2Rh
_symmetry_space_group_name_H-M 'C m m m'
_symmetry_Int_Tables_number 65
_symmetry_space_group_name_Hall '-C 2 2'
_cell_length_a 5.582
_cell_length_b 7.155
_cell_length_c 2.769
_cell_angle_alpha 90.00
_cell_angle_beta 90.00
_cell_angle_gamma 90.00
loop_
_atom_site_label
_atom_site_type_symbol
_atom_site_fract_x
_atom_site_fract_y
_atom_site_fract_z
Ca1 Ca 0.000 0.000 0.000
Ni1 Ni 0.250 0.250 0.500
Rh1 Rh 0.000 0.500 0.000
```

***

5.
DFT (GGA-PBEsol) results for a relaxed structure of Ca3NiRh.

Summary:
The mass density is 3.244 g/cm³. The calculated total energy comes out at -3.84 eV per atom. Its formation energy is 0.30 eV/atom.

```
data_Ca3NiRh
_symmetry_space_group_name_H-M 'P m -3 m'
_symmetry_Int_Tables_number 221
_symmetry_space_group_name_Hall '-P 4 2 3'
_cell_length_a 5.244
_cell_length_b 5.244
_cell_length_c 5.244
_cell_angle_alpha 90.00
_cell_angle_beta 90.00
_cell_angle_gamma 90.00
loop_
_atom_site_label
_atom_site_type_symbol
_atom_site_fract_x
_atom_site_fract_y
_atom_site_fract_z
Ca1 Ca 0.000 0.000 0.500
Ni1 Ni 0.500 0.500 0.500
Rh1 Rh 0.000 0.000 0.000
```

***

6.
DFT (GGA-PBEsol) results for a relaxed structure of CaNi2Rh.

Summary:
The mass density is 7.326 g/cm³. The calculated total energy comes out at -5.52 eV per atom. Its formation energy is 0.12 eV/atom.

```
data_CaNi2Rh
_symmetry_space_group_name_H-M 'P 4 m m'
_symmetry_Int_Tables_number 99
_symmetry_space_group_name_Hall 'P 4 -2'
_cell_length_a 2.956
_cell_length_b 2.956
_cell_length_c 6.752
_cell_angle_alpha 90.00
_cell_angle_beta 90.00
_cell_angle_gamma 90.00
loop_
_atom_site_label
_atom_site_type_symbol
_atom_site_fract_x
_atom_site_fract_y
_atom_site_fract_z
Ca1 Ca 0.000 0.000 0.000
Ni1 Ni 0.000 0.000 0.479
Ni2 Ni 0.500 0.500 0.305
Rh1 Rh 0.500 0.500 0.688
```

***

7.
DFT (GGA-PBEsol) results for a relaxed structure of Ca3NiRu.

Summary:
The mass density is 3.351 g/cm³. The calculated total energy comes out at -3.88 eV per atom. Its formation energy is 0.67 eV/atom.

```
data_Ca3NiRu
_symmetry_space_group_name_H-M 'P m -3 m'
_symmetry_Int_Tables_number 221
_symmetry_space_group_name_Hall '-P 4 2 3'
_cell_length_a 5.177
_cell_length_b 5.177
_cell_length_c 5.177
_cell_angle_alpha 90.00
_cell_angle_beta 90.00
_cell_angle_gamma 90.00
loop_
_atom_site_label
_atom_site_type_symbol
_atom_site_fract_x
_atom_site_fract_y
_atom_site_fract_z
Ca1 Ca 0.000 0.000 0.500
Ni1 Ni 0.500 0.500 0.500
Ru1 Ru 0.000 0.000 0.000
```

***

8.
DFT (GGA-PBEsol) results for a relaxed structure of CaNi2Ru.

Summary:
The mass density is 7.467 g/cm³. The calculated total energy comes out at -5.92 eV per atom. Its formation energy is 0.23 eV/atom.

```
data_CaNi2Ru
_symmetry_space_group_name_H-M 'P 1 m 1'
_symmetry_Int_Tables_number 6
_symmetry_space_group_name_Hall 'P -2y'
_cell_length_a 2.686
_cell_length_b 4.161
_cell_length_c 5.308
_cell_angle_alpha 90.00
_cell_angle_beta 104.30
_cell_angle_gamma 90.00
loop_
_atom_site_label
_atom_site_type_symbol
_atom_site_fract_x
_atom_site_fract_y
_atom_site_fract_z
Ca1 Ca 0.000 0.000 0.000
Ni1 Ni 0.611 0.500 0.225
Ni2 Ni 0.741 0.000 0.494
Ru1 Ru 0.305 0.500 0.622
```

***

9.
DFT (GGA-PBEsol) results for a relaxed structure of CaNi3Ru.

Summary:
The mass density is 6.679 g/cm³. The calculated total energy comes out at -4.25 eV per atom. Its formation energy is 1.91 eV/atom.

```
data_CaNi3Ru
_symmetry_space_group_name_H-M 'P m -3 m'
_symmetry_Int_Tables_number 221
_symmetry_space_group_name_Hall '-P 4 2 3'
_cell_length_a 4.289
_cell_length_b 4.289
_cell_length_c 4.289
_cell_angle_alpha 90.00
_cell_angle_beta 90.00
_cell_angle_gamma 90.00
loop_
_atom_site_label
_atom_site_type_symbol
_atom_site_fract_x
_atom_site_fract_y
_atom_site_fract_z
Ca1 Ca 0.000 0.000 0.000
Ni1 Ni 0.000 0.000 0.500
Ru1 Ru 0.500 0.500 0.500
```

***

10.
DFT (GGA-PBEsol) results for a relaxed structure of CaNiRu3.

Summary:
The mass density is 7.417 g/cm³. The calculated total energy comes out at -5.05 eV per atom. Its formation energy is 2.71 eV/atom.

```
data_CaNiRu3
_symmetry_space_group_name_H-M 'P m -3 m'
_symmetry_Int_Tables_number 221
_symmetry_space_group_name_Hall '-P 4 2 3'
_cell_length_a 4.481
_cell_length_b 4.481
_cell_length_c 4.481
_cell_angle_alpha 90.00
_cell_angle_beta 90.00
_cell_angle_gamma 90.00
loop_
_atom_site_label
_atom_site_type_symbol
_atom_site_fract_x
_atom_site_fract_y
_atom_site_fract_z
Ca1 Ca 0.000 0.000 0.000
Ni1 Ni 0.500 0.500 0.500
Ru1 Ru 0.000 0.000 0.500
```

***

11.
DFT (GGA-PBEsol) results for a relaxed structure of CaNiRu2.

Summary:
The mass density is 8.284 g/cm³. The calculated total energy comes out at -6.66 eV per atom. Its formation energy is 0.50 eV/atom.

```
data_CaNiRu2
_symmetry_space_group_name_H-M 'I m m 2'
_symmetry_Int_Tables_number 44
_symmetry_space_group_name_Hall 'I 2 -2'
_cell_length_a 2.840
_cell_length_b 4.593
_cell_length_c 9.247
_cell_angle_alpha 90.00
_cell_angle_beta 90.00
_cell_angle_gamma 90.00
loop_
_atom_site_label
_atom_site_type_symbol
_atom_site_fract_x
_atom_site_fract_y
_atom_site_fract_z
Ca1 Ca 0.000 0.000 0.000
Ni1 Ni 0.000 0.500 0.769
Ru1 Ru 0.000 0.000 0.494
Ru2 Ru 0.000 0.500 0.222
```

***

12.
DFT (GGA-PBEsol) results for a relaxed structure of Ca2TlNiRu.

Summary:
The mass density is 5.016 g/cm³. The calculated total energy comes out at -3.43 eV per atom. Its formation energy is 1.22 eV/atom.

```
data_Ca2TlNiRu
_symmetry_space_group_name_H-M 'P 4/m m m'
_symmetry_Int_Tables_number 123
_symmetry_space_group_name_Hall '-P 4 2'
_cell_length_a 5.648
_cell_length_b 5.648
_cell_length_c 4.612
_cell_angle_alpha 90.00
_cell_angle_beta 90.00
_cell_angle_gamma 90.00
loop_
_atom_site_label
_atom_site_type_symbol
_atom_site_fract_x
_atom_site_fract_y
_atom_site_fract_z
Ca1 Ca 0.000 0.500 0.000
Tl1 Tl 0.000 0.000 0.000
Ni1 Ni 0.000 0.000 0.500
Ru1 Ru 0.500 0.500 0.500
```

***

13.
DFT (GGA-PBEsol) results for a relaxed structure of CaZrNi2S.

Summary:
The mass density is 3.626 g/cm³. The calculation puts the energy relative to the elements, uncorrected at 0.898 eV per atom. The calculated total energy comes out at -4.69 eV per atom.

```
data_CaZrNi2S
_symmetry_space_group_name_H-M 'P 4/m m m'
_symmetry_Int_Tables_number 123
_symmetry_space_group_name_Hall '-P 4 2'
_cell_length_a 4.371
_cell_length_b 4.371
_cell_length_c 6.729
_cell_angle_alpha 90.00
_cell_angle_beta 90.00
_cell_angle_gamma 90.00
loop_
_atom_site_label
_atom_site_type_symbol
_atom_site_fract_x
_atom_site_fract_y
_atom_site_fract_z
Ca1 Ca 0.000 0.000 0.000
Zr1 Zr 0.000 0.000 0.500
Ni1 Ni 0.000 0.500 0.500
S1 S 0.500 0.500 0.000
```

***

14.
DFT (GGA-PBEsol) results for a relaxed structure of CaNi2Sb.

Summary:
The mass density is 6.698 g/cm³. The calculation puts the energy relative to the elements, uncorrected at -0.255 eV per atom. The calculated total energy comes out at -5.01 eV per atom.

```
data_CaNi2Sb
_symmetry_space_group_name_H-M 'A m m 2'
_symmetry_Int_Tables_number 38
_symmetry_space_group_name_Hall 'A 2 -2'
_cell_length_a 4.095
_cell_length_b 3.761
_cell_length_c 8.990
_cell_angle_alpha 90.00
_cell_angle_beta 90.00
_cell_angle_gamma 90.00
loop_
_atom_site_label
_atom_site_type_symbol
_atom_site_fract_x
_atom_site_fract_y
_atom_site_fract_z
Ca1 Ca 0.000 0.000 0.000
Ni1 Ni 0.000 0.000 0.721
Ni2 Ni 0.500 0.000 0.582
Sb1 Sb 0.500 0.000 0.286
```

***

15.
DFT (GGA-PBEsol) results for a relaxed structure of CaNi2Sb.

Summary:
The mass density is 6.107 g/cm³. The calculation puts the energy relative to the elements, uncorrected at -0.421 eV per atom. The calculated total energy comes out at -5.17 eV per atom.

```
data_CaNi2Sb
_symmetry_space_group_name_H-M 'R -3 m'
_symmetry_Int_Tables_number 166
_symmetry_space_group_name_Hall '-R 3 2"'
_cell_length_a 4.2627
_cell_length_b 4.2627
_cell_length_c 14.4742
_cell_angle_alpha 90.00
_cell_angle_beta 90.00
_cell_angle_gamma 120.00
loop_
_atom_site_label
_atom_site_type_symbol
_atom_site_fract_x
_atom_site_fract_y
_atom_site_fract_z
Ca1 Ca 0.0000 0.0000 0.0000
Ni1 Ni 0.0000 0.0000 0.1930
Sb1 Sb 0.0000 0.0000 0.5000
```

***

Listing spin magnetization for the structures above in their given order: 2.85 0.00 1.77 0.00 0.00 1.29 0.11 0.00 2.95 3.71 0.01 1.88 0.00 0.00 0.00 μB/cell.
Listing Fermi-level density of states for the structures above in their given order: 7.83 4.71 11.61 8.78 3.24 5.41 8.48 3.88 6.65 9.21 10.10 9.86 4.48 5.24 7.46 states/eV/cell.
Listing calculated volume for the structures above in their given order: 95.0 60.7 57.2 55.3 144.2 59.0 138.8 57.5 78.9 90.0 60.3 147.1 128.6 69.2 75.9 Å³/f.u..